Computed, not measured: crystalline GaPtIN2 at its relaxed geometry at the PBE level of DFT.

Lattice parameters (Å, degrees): 3.8329 3.8329 7.1086 90.00 90.00 90.00
Last column: nearest neighbours and their distance in Å.
Fractional coordinates of all 5 atoms:
I1 0.0000 0.0000 0.5000  4 Pt 2.71
N1 0.5000 0.0000 0.0000  2 Ga 1.92
N2 0.0000 0.5000 0.0000  2 Ga 1.92
Pt1 0.5000 0.5000 0.5000  4 I 2.71
Ga1 0.0000 0.0000 0.0000  4 N 1.92

## Properties
Total magnetization, μB/cell: 2.6
Calculated total energy, eV per atom: -4.062
Distance to the lowest polymorph of the same formula, eV/f.u.: 1.36
Formation energy (no corrections), kJ per mole of atoms: 134.3
DOS(E_F), states/eV/f.u.: 5.151

---

Computed, not measured: crystalline YTaTc2 at its relaxed geometry at the PBE level of DFT.

Lattice parameters (Å, degrees): 5.3137 5.3137 5.3137 143.79 123.20 69.24
Last column: nearest neighbours and their distance in Å.
Fractional coordinates of all 4 atoms:
Tc1 0.0145 0.0145 0.0000  2 Ta 2.64, 2 Y 2.84
Tc2 0.4855 0.4855 0.0000  2 Ta 2.64, 2 Y 2.84
Y1 0.7500 0.2500 0.5000  4 Tc 2.84, 4 Ta 3.02
Ta1 0.2500 0.7500 0.5000  4 Tc 2.64

## Properties
Total magnetization, μB/cell: 0.0
Calculated total energy, eV per atom: -9.588
Energy of formation from the pure elements, eV per atom: 0.1740
DOS(E_F), states/eV/f.u.: 3.530

---

Computed, not measured: crystalline Cu2WBr at its relaxed geometry at the PBE level of DFT.

Lattice parameters (Å, degrees): 7.0036 7.0036 7.0036 156.14 146.65 41.42
Last column: nearest neighbours and their distance in Å.
Fractional coordinates of all 4 atoms:
Br1 0.6810 0.1810 0.5000  2 W 2.59, 2 Br 2.90
W1 0.5174 0.5174 0.0000  2 Br 2.59, 6 Cu 2.61-2.66, 2 W 2.90
Cu1 0.9547 0.9547 0.0000  2 Cu 2.46, 4 W 2.61
Cu2 0.3469 0.8469 0.5000  2 Cu 2.46, 2 W 2.66

## Properties
Total magnetization, μB/cell: 0.0
Calculated total energy, eV per atom: -5.106
Distance to the lowest polymorph of the same formula, eV/f.u.: 0.28
Formation energy (no corrections), kJ per mole of atoms: 57.7
DOS(E_F), states/eV/f.u.: 1.875

---

Computed, not measured: crystalline CaTaCo2 at its relaxed geometry at the PBE level of DFT.

Lattice parameters (Å, degrees): 5.1535 5.1535 4.7993 77.07 77.07 30.51
Last column: nearest neighbours and their distance in Å.
Fractional coordinates of all 4 atoms:
Ca1 0.2721 0.2721 0.1924  7 Co 2.66-2.90, 2 Ca 2.71
Co1 0.0361 0.0361 0.0210  4 Co 2.44-2.71, 1 Ca 2.66
Co2 0.7155 0.7155 0.7164  4 Co 2.44-2.71, 1 Ta 2.63
Ta1 0.4762 0.4762 0.5703  7 Co 2.63-2.90, 2 Ta 2.71

## Properties
Total magnetization, μB/cell: 0.0
Calculated total energy, eV per atom: -6.683
Energy of formation from the pure elements, eV per atom: 0.3332
Distance to the lowest polymorph of the same formula, eV/f.u.: 1.38
DOS(E_F), states/eV/f.u.: 3.813

---

Computed, not measured: crystalline SrZn2Mo at its relaxed geometry at the PBE level of DFT.

Lattice parameters (Å, degrees): 2.8975 6.3055 5.7009 51.01 90.00 90.00
Last column: nearest neighbours and their distance in Å.
Fractional coordinates of all 4 atoms:
Zn1 0.5000 0.5000 0.0000  2 Mo 2.85, 2 Zn 2.90, 4 Sr 2.98
Zn2 0.0000 0.0000 0.0000  2 Sr 2.85, 2 Zn 2.90, 4 Mo 2.98
Mo1 0.5000 0.5000 0.5000  6 Zn 2.85-2.98, 2 Mo 2.90
Sr1 0.0000 0.0000 0.5000  6 Zn 2.85-2.98, 2 Sr 2.90

## Properties
Total magnetization, μB/cell: 0.0
Calculated total energy, eV per atom: -3.154
Energy of formation from the pure elements, eV per atom: 0.6107
Distance to the lowest polymorph of the same formula, eV/f.u.: 1.31
DOS(E_F), states/eV/f.u.: 2.362

---

Computed, not measured: crystalline BaSc3 at its relaxed geometry at the PBE level of DFT.

Lattice parameters (Å, degrees): 6.2021 6.2021 6.2021 90.00 90.00 90.00
Last column: nearest neighbours and their distance in Å.
Fractional coordinates of all 8 atoms:
Sc1 0.7500 0.5000 0.0000  2 Sc 3.10, 4 Ba 3.47
Sc2 0.0000 0.7500 0.5000  2 Sc 3.10, 4 Ba 3.47
Sc3 0.5000 0.0000 0.7500  2 Sc 3.10, 4 Ba 3.47
Sc4 0.2500 0.5000 0.0000  2 Sc 3.10, 4 Ba 3.47
Ba1 0.0000 0.0000 0.0000  12 Sc 3.47
Sc5 0.0000 0.2500 0.5000  2 Sc 3.10, 4 Ba 3.47
Ba2 0.5000 0.5000 0.5000  12 Sc 3.47
Sc6 0.5000 0.0000 0.2500  2 Sc 3.10, 4 Ba 3.47

## Properties
Total magnetization, μB/cell: 4.1
Calculated total energy, eV per atom: -4.759
Energy of formation from the pure elements, eV per atom: 0.4702
Distance to the lowest polymorph of the same formula, eV/f.u.: 0.94
DOS(E_F), states/eV/f.u.: 7.048

---

Computed, not measured: crystalline UTiNi4 at its relaxed geometry at the PBE level of DFT.

Lattice parameters (Å, degrees): 4.8831 4.8831 4.8831 60.00 60.00 60.00
Last column: nearest neighbours and their distance in Å.
Fractional coordinates of all 6 atoms:
Ti1 0.0000 0.0000 0.0000  12 Ni 2.86, 4 U 2.99
U1 0.2500 0.2500 0.2500  12 Ni 2.86, 4 Ti 2.99
Ni1 0.6258 0.1225 0.6258  6 Ni 2.43-2.46
Ni2 0.6258 0.6258 0.1225  6 Ni 2.43-2.46
Ni3 0.1225 0.6258 0.6258  6 Ni 2.43-2.46
Ni4 0.6258 0.6258 0.6258  6 Ni 2.43-2.46

## Properties
Total magnetization, μB/cell: 3.0
Calculated total energy, eV per atom: -7.308
Energy of formation from the pure elements, eV per atom: -0.2568
DOS(E_F), states/eV/f.u.: 8.324

---

Computed, not measured: crystalline CdHIO at its relaxed geometry at the PBE level of DFT.

Lattice parameters (Å, degrees): 4.0034 4.0237 6.2505 72.10 71.32 60.17
Last column: nearest neighbours and their distance in Å.
Fractional coordinates of all 4 atoms:
H1 0.1073 0.3877 0.3977  1 O 0.99
O1 0.0481 0.3363 0.5676  1 H 0.99
Cd1 0.6892 0.9792 0.6423  3 O 2.36
I1 0.5335 0.8139 0.1192  1 Cd 2.78, 3 H 2.81-2.84

## Properties
Total magnetization, μB/cell: 0.0
Calculated total energy, eV per atom: -3.449
DOS(E_F), states/eV/f.u.: 0.722

---

> What is the DOS(E_F) in the seventh record?

8.324 states/eV/f.u.

---

What did the fifth record say?
Computed, not measured: crystalline SrZn2Mo at its relaxed geometry at the PBE level of DFT.

Lattice parameters (Å, degrees): 2.8975 6.3055 5.7009 51.01 90.00 90.00
Last column: nearest neighbours and their distance in Å.
Fractional coordinates of all 4 atoms:
Zn1 0.5000 0.5000 0.0000  2 Mo 2.85, 2 Zn 2.90, 4 Sr 2.98
Zn2 0.0000 0.0000 0.0000  2 Sr 2.85, 2 Zn 2.90, 4 Mo 2.98
Mo1 0.5000 0.5000 0.5000  6 Zn 2.85-2.98, 2 Mo 2.90
Sr1 0.0000 0.0000 0.5000  6 Zn 2.85-2.98, 2 Sr 2.90

## Properties
Total magnetization, μB/cell: 0.0
Calculated total energy, eV per atom: -3.154
Energy of formation from the pure elements, eV per atom: 0.6107
Distance to the lowest polymorph of the same formula, eV/f.u.: 1.31
DOS(E_F), states/eV/f.u.: 2.362

---

What did the second record say?
Computed, not measured: crystalline YTaTc2 at its relaxed geometry at the PBE level of DFT.

Lattice parameters (Å, degrees): 5.3137 5.3137 5.3137 143.79 123.20 69.24
Last column: nearest neighbours and their distance in Å.
Fractional coordinates of all 4 atoms:
Tc1 0.0145 0.0145 0.0000  2 Ta 2.64, 2 Y 2.84
Tc2 0.4855 0.4855 0.0000  2 Ta 2.64, 2 Y 2.84
Y1 0.7500 0.2500 0.5000  4 Tc 2.84, 4 Ta 3.02
Ta1 0.2500 0.7500 0.5000  4 Tc 2.64

## Properties
Total magnetization, μB/cell: 0.0
Calculated total energy, eV per atom: -9.588
Energy of formation from the pure elements, eV per atom: 0.1740
DOS(E_F), states/eV/f.u.: 3.530

---

> Look up the DOS(E_F) of the fifth one.

2.362 states/eV/f.u.